Entry 1:
This record from Alexandria via LeMat-Bulk describes LaDyEr2 after structural relaxation. The functional is GGA-PBE.

The relative energy among the computed polymorphs comes out at 0.097 eV/atom. As for the raw total energy: -0.335 Ry/atom. For the energy of formation from the pure elements, the calculation gives 0.11 eV/atom.

The structure belongs to space group Fm-3m (No. 225); the cell edges are 8.076, 8.076 and 8.076 Å and the angles 90.00°, 90.00° and 90.00°. Symmetry generates all atoms from La at (0.000, 0.000, 0.000), Dy at (0.000, 0.000, 0.500) and Er at (0.250, 0.250, 0.250).



Entry 2:
This record from Alexandria via LeMat-Bulk describes LiSm2AlGa6 after structural relaxation. The functional is GGA-PBE.

As for the raw total energy: -0.271 Ry/atom. For the energy of formation from the pure elements, the calculation gives -0.36 eV/atom.

The structure belongs to space group P-1 (No. 2); the cell edges are 5.397, 6.523 and 6.723 Å and the angles 74.73°, 69.60° and 68.05°. Symmetry generates all atoms from Li at (0.000, 0.000, 0.000), Sm at (0.491, 0.248, 0.746), Al at (0.000, 0.500, 0.500), Ga at (0.010, 0.313, 0.181), Ga at (0.136, 0.068, 0.590) and Ga at (0.496, 0.727, 0.776).



Entry 3:
This record from Alexandria via LeMat-Bulk describes LiIrPt after structural relaxation. The functional is GGA-PBE.

The relative energy among the computed polymorphs comes out at 0.085 eV/atom. As for the raw total energy: -0.418 Ry/atom. For the energy of formation from the pure elements, the calculation gives -0.09 eV/atom.

The structure belongs to space group I4mm (No. 107); the cell edges are 2.683, 2.683 and 12.133 Å and the angles 90.00°, 90.00° and 90.00°. Symmetry generates all atoms from Li at (0.000, 0.000, 0.000), Ir at (0.000, 0.000, 0.332) and Pt at (0.000, 0.000, 0.668).



Entry 4:
This record from Alexandria via LeMat-Bulk describes Ba3Sb4Au2 after structural relaxation. The functional is GGA-PBE.

The calculation puts the raw formation energy at -0.758 eV/atom. As for the raw total energy: -0.291 Ry/atom.

The structure belongs to space group C2/m (No. 12); the cell edges are 12.801, 4.970 and 9.732 Å and the angles 90.00°, 108.99° and 90.00°. Symmetry generates all atoms from Ba at (0.000, 0.000, 0.000), Ba at (0.122, 0.500, 0.677), Sb at (0.112, 0.000, 0.402), Sb at (0.214, 0.500, 0.056) and Au at (0.184, 0.500, 0.332).



Entry 5:
This record from Alexandria via LeMat-Bulk describes Cs2ThTaO6 after structural relaxation. The functional is GGA-PBE.

The calculation puts the raw formation energy at -2.528 eV/atom. As for the raw total energy: -0.559 Ry/atom.

The structure belongs to space group R-3m (No. 166, hexagonal axes); the cell edges are 6.5118, 6.5118 and 31.3724 Å and the angles 90.00°, 90.00° and 120.00°. Symmetry generates all atoms from Cs at (0.0000, 0.0000, 0.1329), Cs at (0.0000, 0.0000, 0.2766), Th at (0.0000, 0.0000, 0.4003), Ta at (0.0000, 0.0000, 0.0000), Ta at (0.0000, 0.0000, 0.5000), O at (0.0341, 0.5171, 0.7025) and O at (0.0623, 0.5312, 0.1252).



Entry 6:
This record from Alexandria via LeMat-Bulk describes SmZrAs2Rh5 after structural relaxation. The functional is GGA-PBE.

As for the raw total energy: -0.526 Ry/atom. For the energy of formation from the pure elements, the calculation gives -0.56 eV/atom.

The structure belongs to space group P4/mmm (No. 123); the cell edges are 4.057, 4.057 and 10.973 Å and the angles 90.00°, 90.00° and 90.00°. Symmetry generates all atoms from Sm at (0.000, 0.000, 0.000), Zr at (0.000, 0.000, 0.500), As at (0.500, 0.500, 0.217), Rh at (0.000, 0.500, 0.332) and Rh at (0.500, 0.500, 0.000).



Entry 7:
This record from Alexandria via LeMat-Bulk describes Fe3HgW after structural relaxation. The functional is GGA-PBE.

The relative energy among the computed polymorphs comes out at 0.748 eV/atom. As for the raw total energy: -0.405 Ry/atom. For the energy of formation from the pure elements, the calculation gives 2.22 eV/atom.

The structure belongs to space group Pm-3m (No. 221); the cell edges are 4.705, 4.705 and 4.705 Å and the angles 90.00°, 90.00° and 90.00°. Symmetry generates all atoms from Fe at (0.000, 0.000, 0.500), Hg at (0.000, 0.000, 0.000) and W at (0.500, 0.500, 0.500).



Entry 8:
This record from Alexandria via LeMat-Bulk describes Pa4Te5Ru2 after structural relaxation. The functional is GGA-PBE.

The calculation puts the raw formation energy at -0.705 eV/atom. As for the raw total energy: -0.535 Ry/atom.

The structure belongs to space group P2/m (No. 10); the cell edges are 7.527, 3.799 and 11.439 Å and the angles 90.00°, 106.61° and 90.00°. Symmetry generates all atoms from Pa at (0.209, 0.000, 0.427), Pa at (0.268, 0.000, 0.795), Te at (0.049, 0.500, 0.177), Te at (0.464, 0.500, 0.644), Te at (0.500, 0.500, 0.000) and Ru at (0.076, 0.500, 0.623).



Entry 9:
This record from Alexandria via LeMat-Bulk describes Tb3PrTh2 after structural relaxation. The functional is GGA-PBE.

The relative energy among the computed polymorphs comes out at 0.000 eV/atom. As for the raw total energy: -0.407 Ry/atom. For the energy of formation from the pure elements, the calculation gives 0.04 eV/atom.

The structure belongs to space group P2_1/m (No. 11); the cell edges are 10.152, 3.594 and 10.773 Å and the angles 90.00°, 90.46° and 90.00°. Symmetry generates all atoms from Tb at (0.125, 0.250, 0.250), Tb at (0.129, 0.250, 0.583), Tb at (0.365, 0.750, 0.082), Pr at (0.377, 0.750, 0.750), Th at (0.118, 0.250, 0.920) and Th at (0.375, 0.750, 0.420).



Entry 10:
This record from Alexandria via LeMat-Bulk describes Rb2In3GaSn4 after structural relaxation. The functional is GGA-PBE.

As for the raw total energy: -0.226 Ry/atom. For the energy of formation from the pure elements, the calculation gives -0.15 eV/atom.

The structure belongs to space group P-4m2 (No. 115); the cell edges are 5.196, 5.196 and 11.898 Å and the angles 90.00°, 90.00° and 90.00°. Symmetry generates all atoms from Rb at (0.000, 0.500, 0.245), In at (0.000, 0.000, 0.000), In at (0.000, 0.500, 0.632), Ga at (0.500, 0.500, 0.000), Sn at (0.000, 0.000, 0.500), Sn at (0.000, 0.500, 0.878) and Sn at (0.500, 0.500, 0.500).